# Nb2CoNi | the Open Quantum Materials Database | PBE | optimized geometry
# * energy relative to the elements: 84 meV per atom
data_Nb2CoNi
_cell_length_a 6.0931
_cell_length_b 6.0931
_cell_length_c 6.0931
_cell_angle_alpha 90.00
_cell_angle_beta 90.00
_cell_angle_gamma 90.00
_symmetry_space_group_name_H-M 'F -4 3 m'
_symmetry_Int_Tables_number 216
_symmetry_space_group_name_Hall 'F -4 2 3'
loop_
_atom_site_label
_atom_site_type_symbol
_atom_site_fract_x
_atom_site_fract_y
_atom_site_fract_z
Nb1 Nb 0.0000 0.0000 0.0000
Nb2 Nb 0.2500 0.2500 0.2500
Co1 Co 0.2500 0.2500 0.7500
Ni1 Ni 0.0000 0.0000 0.5000